(1)
The following is a DFT calculation (PBE-GGA) of crystalline Cs3TlGe2I9 at its relaxed geometry.

Unit cell a=8.6061 b=8.6061 c=10.7007 alpha=90.00 beta=90.00 gamma=120.00
With the nearest neighbours (Å) after each atom.
Atoms (fractional coordinates):
I (0.8253, 0.6505, 0.6835)  1 Ge 2.87
I (0.5000, 0.5000, 0.0000)  2 Ge 3.04
I (0.0000, 0.5000, 0.0000)  2 Ge 3.04
I (0.6505, 0.8253, 0.3165)  1 Ge 2.87
I (0.8253, 0.1747, 0.6835)  1 Ge 2.87
I (0.3495, 0.1747, 0.6835)  1 Ge 2.87
I (0.5000, 0.0000, 0.0000)  2 Ge 3.04
I (0.1747, 0.3495, 0.3165)  1 Ge 2.87
I (0.1747, 0.8253, 0.3165)  1 Ge 2.87
Cs (0.0000, 0.0000, 0.0000)  12 I 4.27-4.30
Cs (0.3333, 0.6667, 0.6831)  12 I 4.20-4.58
Cs (0.6667, 0.3333, 0.3169)  12 I 4.20-4.58
Ge (0.6667, 0.3333, 0.8359)  6 I 2.87-3.04
Ge (0.3333, 0.6667, 0.1641)  6 I 2.87-3.04
Tl (0.0000, 0.0000, 0.5000)  6 I 3.26

- energy (eV/atom) = -2.7045
- magnetization (μB/f.u.) = 0.00
- formation energy (no corrections) (meV per atom) = -830
- space-group type = P-3m1 (164)
- Fermi-level density of states (states/eV per cell) = 4.9

(2)
The following is a DFT calculation (PBE-GGA) of crystalline Ba3TbTh2Sb6 at its relaxed geometry.

Unit cell a=8.0808 b=8.0808 c=8.4380 alpha=99.19 beta=99.19 gamma=120.04
With the nearest neighbours (Å) after each atom.
Atoms (fractional coordinates):
Ba (0.5000, 0.5000, 0.5000)  6 Sb 3.52-3.53
Ba (0.1670, 0.8330, 0.5000)  6 Sb 3.52-3.53
Ba (0.8330, 0.1670, 0.5000)  6 Sb 3.52-3.53
Sb (0.2596, 0.2596, 0.7841)  1 Tb 3.19, 2 Th 3.20, 3 Ba 3.52-3.53
Sb (0.7404, 0.7404, 0.2159)  1 Tb 3.19, 2 Th 3.20, 3 Ba 3.52-3.53
Sb (0.0716, 0.4033, 0.2152)  1 Tb 3.18, 2 Th 3.20, 3 Ba 3.52-3.53
Sb (0.5967, 0.9284, 0.7848)  1 Tb 3.18, 2 Th 3.20, 3 Ba 3.52-3.53
Sb (0.9284, 0.5967, 0.7848)  1 Tb 3.18, 2 Th 3.20, 3 Ba 3.52-3.53
Sb (0.4033, 0.0716, 0.2152)  1 Tb 3.18, 2 Th 3.20, 3 Ba 3.52-3.53
Th (0.6665, 0.3335, 0.0000)  6 Sb 3.20
Th (0.3335, 0.6665, 0.0000)  6 Sb 3.20
Tb (0.0000, 0.0000, 0.0000)  6 Sb 3.18-3.19

- energy (eV/atom) = -5.1591
- magnetization (μB/f.u.) = 0.00
- formation energy (no corrections) (meV per atom) = -995
- space-group type = C2/m (12)
- Fermi-level density of states (states/eV per cell) = 8.5

(3)
The following is a DFT calculation (PBE-GGA) of crystalline AlTl3N at its relaxed geometry.

Unit cell a=4.9965 b=4.9965 c=4.9965 alpha=90.00 beta=90.00 gamma=90.00
With the nearest neighbours (Å) after each atom.
Atoms (fractional coordinates):
N (0.0000, 0.0000, 0.0000)  6 Tl 2.50
Tl (0.0000, 0.0000, 0.5000)  2 N 2.50
Tl (0.0000, 0.5000, 0.0000)  2 N 2.50
Tl (0.5000, 0.0000, 0.0000)  2 N 2.50
Al (0.5000, 0.5000, 0.5000)  12 Tl 3.53

- energy (eV/atom) = -3.0335
- magnetization (μB/f.u.) = 0.00
- formation energy (no corrections) (meV per atom) = 800
- space-group type = Pm-3m (221)
- Fermi-level density of states (states/eV per cell) = 2.4

(4)
The following is a DFT calculation (PBE-GGA) of crystalline GeSF2 at its relaxed geometry.

Unit cell a=8.0773 b=8.0773 c=8.0773 alpha=20.80 beta=20.80 gamma=20.80
With the nearest neighbours (Å) after each atom.
Atoms (fractional coordinates):
S (0.0000, 0.0000, 0.0000)  2 F 1.86
F (0.0783, 0.0783, 0.0783)  1 S 1.86
F (0.9217, 0.9217, 0.9217)  1 S 1.86
Ge (0.5000, 0.5000, 0.5000)  6 F 2.69, 6 Ge 2.92

- energy (eV/atom) = -3.8063
- magnetization (μB/f.u.) = 0.00
- formation energy (no corrections) (meV per atom) = -684
- space-group type = R-3m (166)
- Fermi-level density of states (states/eV per cell) = 1.3

(5)
The following is a DFT calculation (PBE-GGA) of crystalline BiIrN at its relaxed geometry.

Unit cell a=3.9287 b=5.4058 c=6.7213 alpha=113.71 beta=106.99 gamma=90.00
With the nearest neighbours (Å) after each atom.
Atoms (fractional coordinates):
Bi (0.2011, 0.2011, 0.4022)  4 Ir 2.72-2.80
Bi (0.7989, 0.7989, 0.5978)  4 Ir 2.72-2.80
N (0.5000, 0.6092, 0.0000)  1 N 1.18
N (0.5000, 0.3908, 0.0000)  1 N 1.18
Ir (0.8626, 0.3626, 0.7252)  4 N 2.60, 4 Bi 2.72-2.80
Ir (0.1374, 0.6374, 0.2748)  4 N 2.60, 4 Bi 2.72-2.80

- energy (eV/atom) = -6.4026
- magnetization (μB/f.u.) = 0.00
- formation energy (no corrections) (meV per atom) = 620
- space-group type = Immm (71)
- Fermi-level density of states (states/eV per cell) = 0.7

(6)
The following is a DFT calculation (PBE-GGA) of crystalline Na2TlOsCl8 at its relaxed geometry.

Unit cell a=6.4332 b=6.1272 c=8.3423 alpha=90.00 beta=90.00 gamma=93.29
With the nearest neighbours (Å) after each atom.
Atoms (fractional coordinates):
Cl (0.6720, 0.7075, 0.5000)  1 Tl 2.69, 2 Na 2.71
Cl (0.1408, 0.7891, 0.7969)  1 Os 2.34
Cl (0.3280, 0.2925, 0.5000)  1 Tl 2.69, 2 Na 2.71
Cl (0.8592, 0.2109, 0.2031)  1 Os 2.34
Cl (0.3052, 0.2310, 0.0000)  1 Os 2.35
Cl (0.1408, 0.7891, 0.2031)  1 Os 2.34
Cl (0.6948, 0.7690, 0.0000)  1 Os 2.35
Cl (0.8592, 0.2109, 0.7969)  1 Os 2.34
Na (0.5000, 0.5000, 0.2408)  6 Cl 2.71-3.01
Na (0.5000, 0.5000, 0.7592)  6 Cl 2.71-3.01
Tl (0.0000, 0.0000, 0.5000)  6 Cl 2.69-2.96
Os (0.0000, 0.0000, 0.0000)  6 Cl 2.34-2.35

- energy (eV/atom) = -3.5162
- magnetization (μB/f.u.) = 1.45
- formation energy (no corrections) (meV per atom) = -932
- space-group type = P2/m (10)
- Fermi-level density of states (states/eV per cell) = 5.5

(7)
The following is a DFT calculation (PBE-GGA) of crystalline VCo2ReMo at its relaxed geometry.

Unit cell a=4.3070 b=4.4096 c=4.3070 alpha=90.00 beta=90.00 gamma=90.00
With the nearest neighbours (Å) after each atom.
Atoms (fractional coordinates):
V (0.0000, 0.5000, 0.0000)  2 Mo 2.20
Re (0.5000, 0.5000, 0.5000)  4 V 3.05, 8 Co 3.08
Co (0.0000, 0.0000, 0.5000)  2 Mo 2.15
Co (0.5000, 0.0000, 0.0000)  2 Mo 2.15
Mo (0.0000, 0.0000, 0.0000)  4 Co 2.15, 2 V 2.20

- energy (eV/atom) = -7.5647
- magnetization (μB/f.u.) = 1.36
- formation energy from the elements (meV per atom) = 1757
- space-group type = P4/mmm (123)
- Fermi-level density of states (states/eV per cell) = 6.9

(8)
The following is a DFT calculation (PBE-GGA) of crystalline Mg2Sc6C at its relaxed geometry.

Unit cell a=6.5449 b=6.5450 c=9.2189 alpha=90.00 beta=90.00 gamma=90.00
With the nearest neighbours (Å) after each atom.
Atoms (fractional coordinates):
Mg (0.5000, 0.0000, 0.2499)  12 Sc 3.26-3.28
Mg (0.5000, 0.0000, 0.7501)  12 Sc 3.26-3.28
Mg (0.0000, 0.5000, 0.7499)  12 Sc 3.26-3.28
Mg (0.0000, 0.5000, 0.2501)  12 Sc 3.26-3.28
Sc (0.7439, 0.7438, 0.9991)  1 C 2.26
Sc (0.2439, 0.7562, 0.4991)  1 C 2.26
Sc (0.0018, 0.0000, 0.7444)  1 C 2.25
Sc (0.2561, 0.2562, 0.0009)  1 C 2.26
Sc (0.4982, 0.5000, 0.7556)  1 C 2.25
Sc (0.7562, 0.7561, 0.5009)  1 C 2.26
Sc (0.2562, 0.7439, 0.0009)  1 C 2.26
Sc (0.9982, 0.0000, 0.2556)  1 C 2.25
Sc (0.2438, 0.2439, 0.4991)  1 C 2.26
Sc (0.5018, 0.5000, 0.2444)  1 C 2.25
Sc (0.7438, 0.2561, 0.9991)  1 C 2.26
Sc (0.7561, 0.2438, 0.5009)  1 C 2.26
C (0.5000, 0.5000, 0.0000)  6 Sc 2.25-2.26
C (0.0000, 0.0000, 0.5000)  6 Sc 2.25-2.26

- energy (eV/atom) = -5.7922
- magnetization (μB/f.u.) = 0.00
- formation energy from the elements (meV per atom) = -192
- space-group type = C2/m (12)
- Fermi-level density of states (states/eV per cell) = 27.0

Question: The highest energy belongs to which entry?
Answer: Cs3TlGe2I9

Question: Look up the Fermi-level density of states of the first one.
Answer: 4.9 states/eV per cell